Below is a relaxed structure of FeAgMoH2, with properties calculated at the PBEsol level.

E_tot = -5.08 eV per atom
Crystal system = tetragonal

Unit cell a=3.3370 b=3.3370 c=5.5487 alpha=90.00 beta=90.00 gamma=90.00
With the nearest neighbours (Å) after each atom.
Space group P4/mmm (No. 123)
Inequivalent atoms, fractional coordinates:
Fe (0.0000, 0.0000, 0.0000) [1 per cell]  4 Mo 2.36
Ag (0.5000, 0.5000, 0.5000) [1 per cell]  4 H 1.67
Mo (0.5000, 0.5000, 0.0000) [1 per cell]  4 Fe 2.36
H (0.0000, 0.5000, 0.5000) [2 per cell]  2 Ag 1.67

=====

Below is a relaxed structure of SrFe2AgH, with properties calculated at the PBEsol level.

E_tot = -3.91 eV per atom
Crystal system = tetragonal

Unit cell a=4.6861 b=4.6861 c=5.9670 alpha=90.00 beta=90.00 gamma=90.00
With the nearest neighbours (Å) after each atom.
Space group P4/mmm (No. 123)
Inequivalent atoms, fractional coordinates:
Sr (0.0000, 0.0000, 0.0000) [1 per cell]  2 Ag 2.98, 4 H 3.31
Fe (0.0000, 0.5000, 0.5000) [2 per cell]  2 Ag 2.34
Ag (0.0000, 0.0000, 0.5000) [1 per cell]  4 Fe 2.34
H (0.5000, 0.5000, 0.0000) [1 per cell]  4 Sr 3.31

=====

Below is a relaxed structure of HfFeAg2, with properties calculated at the PBEsol level.

E_tot = -6.24 eV per atom
Crystal system = cubic
ΔE_f = 0.284 eV per atom

Unit cell a=6.4172 b=6.4172 c=6.4172 alpha=90.00 beta=90.00 gamma=90.00
With the nearest neighbours (Å) after each atom.
Space group Fm-3m (No. 225)
Inequivalent atoms, fractional coordinates:
Hf (0.0000, 0.0000, 0.0000) [4 per cell]  8 Ag 2.78
Fe (0.0000, 0.0000, 0.5000) [4 per cell]  8 Ag 2.78
Ag (0.2500, 0.2500, 0.2500) [8 per cell]  4 Hf 2.78, 4 Fe 2.78

=====

Below is a relaxed structure of HfFeAg2Pt, with properties calculated at the PBEsol level.

E_tot = -5.50 eV per atom
Crystal system = tetragonal
ΔE_f = 1.115 eV per atom

Unit cell a=4.8859 b=4.8859 c=4.5130 alpha=90.00 beta=90.00 gamma=90.00
With the nearest neighbours (Å) after each atom.
Space group P4/mmm (No. 123)
Inequivalent atoms, fractional coordinates:
Hf (0.0000, 0.0000, 0.0000) [1 per cell]  8 Ag 3.33, 4 Fe 3.45
Fe (0.5000, 0.5000, 0.0000) [1 per cell]  2 Pt 2.26
Ag (0.0000, 0.5000, 0.5000) [2 per cell]  2 Pt 2.44
Pt (0.5000, 0.5000, 0.5000) [1 per cell]  2 Fe 2.26, 4 Ag 2.44